[1]
First-principles (PBE-GGA) data for Tl2BiHPt after structural relaxation, as listed in Alexandria via LeMat-Bulk.

Density of states at the Fermi level   1.32 states/eV per cell
Size of the total moment   0.00 Bohr magnetons per cell
Space-group type   P4/mmm
Crystal system   tetragonal
Total energy   -3.5520 eV per atom

Cell lengths 5.7126, 5.7126, 3.4982 Å; angles 90.00, 90.00, 90.00 degrees
Closest atoms and distances in Å follow each position.
Element x y z (fractional)
1 H 0.0000 0.0000 0.5000  2 Pt 1.75
2 Tl 0.0000 0.5000 0.0000  2 Pt 2.86
3 Tl 0.5000 0.0000 0.0000  2 Pt 2.86
4 Pt 0.0000 0.0000 0.0000  2 H 1.75
5 Bi 0.5000 0.5000 0.5000  8 Tl 3.35, 2 Bi 3.50

=====

[2]
First-principles (PBE-GGA) data for TlBi2HPt after structural relaxation, as listed in Alexandria via LeMat-Bulk.

Density of states at the Fermi level   3.02 states/eV per cell
Size of the total moment   0.00 Bohr magnetons per cell
Space-group type   P4/mmm
Crystal system   tetragonal
Total energy   -3.8976 eV per atom

Cell lengths 5.7404, 5.7404, 3.4860 Å; angles 90.00, 90.00, 90.00 degrees
Closest atoms and distances in Å follow each position.
Element x y z (fractional)
1 Tl 0.5000 0.5000 0.5000  8 Bi 3.36, 2 Tl 3.49
2 Bi 0.0000 0.5000 0.0000  2 Pt 2.87
3 Bi 0.5000 0.0000 0.0000  2 Pt 2.87
4 H 0.0000 0.0000 0.5000  2 Pt 1.74
5 Pt 0.0000 0.0000 0.0000  2 H 1.74

=====

[3]
First-principles (PBE-GGA) data for ZnBi2H2Pt7 after structural relaxation, as listed in Alexandria via LeMat-Bulk.

Density of states at the Fermi level   7.09 states/eV per cell
Size of the total moment   0.00 Bohr magnetons per cell
Space-group type   C2/m
Crystal system   monoclinic
Total energy   -4.9944 eV per atom

Cell lengths 4.0128, 4.0128, 12.1054 Å; angles 80.87, 80.87, 89.76 degrees
Closest atoms and distances in Å follow each position.
Element x y z (fractional)
1 H 0.8570 0.8570 0.7579  3 Pt 1.75-1.89
2 H 0.1430 0.1430 0.2421  3 Pt 1.75-1.89
3 Pt 0.3528 0.3528 0.3428  1 H 1.89
4 Pt 0.4359 0.9162 0.1617  1 H 1.75
5 Pt 0.6472 0.6472 0.6572  1 H 1.89
6 Pt 0.5641 0.0838 0.8383  1 H 1.75
7 Pt 0.5000 0.5000 0.0000  8 Pt 2.75-2.79, 4 Zn 2.83-2.84
8 Pt 0.0838 0.5641 0.8383  1 H 1.75
9 Pt 0.9162 0.4359 0.1617  1 H 1.75
10 Bi 0.2108 0.2108 0.5900  1 H 2.52, 1 Pt 2.78
11 Bi 0.7892 0.7892 0.4100  1 H 2.52, 1 Pt 2.78
12 Zn 0.0000 0.0000 0.0000  12 Pt 2.73-2.84

=====

[4]
First-principles (PBE-GGA) data for Pu3BiH after structural relaxation, as listed in Alexandria via LeMat-Bulk.

Density of states at the Fermi level   17.85 states/eV per cell
Size of the total moment   19.22 Bohr magnetons per cell
Space-group type   Pm-3m
Crystal system   cubic
Total energy   -10.3134 eV per atom

Cell lengths 4.8682, 4.8682, 4.8682 Å; angles 90.00, 90.00, 90.00 degrees
Closest atoms and distances in Å follow each position.
Element x y z (fractional)
1 Bi 0.5000 0.5000 0.5000  12 Pu 3.44
2 Pu 0.5000 0.0000 0.0000  2 H 2.43
3 Pu 0.0000 0.0000 0.5000  2 H 2.43
4 Pu 0.0000 0.5000 0.0000  2 H 2.43
5 H 0.0000 0.0000 0.0000  6 Pu 2.43

=====

[5]
First-principles (PBE-GGA) data for Pu5Bi3H12 after structural relaxation, as listed in Alexandria via LeMat-Bulk.

Density of states at the Fermi level   128.23 states/eV per cell
Size of the total moment   14.23 Bohr magnetons per cell
Space-group type   Ia-3d
Crystal system   cubic
Total energy   -6.3685 eV per atom

Cell lengths 11.2456, 11.2456, 11.2456 Å; angles 109.47, 109.47, 109.47 degrees
Closest atoms and distances in Å follow each position.
Element x y z (fractional)
1 H 0.5489 0.4536 0.1713  1 H 1.79
2 H 0.5953 0.8776 0.0489  1 H 1.79
3 H 0.7178 0.5953 0.5464  1 H 1.79
4 H 0.4536 0.9047 0.2822  1 H 1.79
5 H 0.0953 0.5489 0.3776  1 H 1.79
6 H 0.3287 0.9511 0.5464  1 H 1.79
7 H 0.9536 0.1713 0.0489  1 H 1.79
8 H 0.5464 0.4511 0.3287  1 H 1.79
9 H 0.1224 0.7178 0.1713  1 H 1.79
10 H 0.0489 0.6713 0.9536  1 H 1.79
11 H 0.3776 0.3287 0.7822  1 H 1.79
12 H 0.4511 0.9047 0.1224  1 H 1.79
13 H 0.5489 0.0953 0.8776  1 H 1.79
14 H 0.4047 0.2822 0.9536  1 H 1.79
15 H 0.8776 0.5953 0.5489  1 H 1.79
16 H 0.7178 0.1224 0.6713  1 H 1.79
17 H 0.8287 0.7822 0.8776  1 H 1.79
18 H 0.8287 0.0464 0.4511  1 H 1.79
19 H 0.9536 0.7822 0.4047  1 H 1.79
20 H 0.0953 0.5464 0.2178  1 H 1.79
21 H 0.5953 0.7178 0.0464  1 H 1.79
22 H 0.2822 0.4047 0.4536  1 H 1.79
23 H 0.0489 0.3776 0.5953  1 H 1.79
24 H 0.0464 0.2178 0.5953  1 H 1.79
25 H 0.1224 0.4047 0.4511  1 H 1.79
26 H 0.5464 0.0953 0.7178  1 H 1.79
27 H 0.2178 0.1713 0.6224  1 H 1.79
28 H 0.6713 0.6224 0.7178  1 H 1.79
29 H 0.3776 0.0489 0.0953  1 H 1.79
30 H 0.7822 0.8287 0.3776  1 H 1.79
31 H 0.2822 0.8776 0.3287  1 H 1.79
32 H 0.0464 0.8287 0.9511  1 H 1.79
33 H 0.1713 0.2178 0.1224  1 H 1.79
34 H 0.6224 0.6713 0.2178  1 H 1.79
35 H 0.3287 0.3776 0.2822  1 H 1.79
36 H 0.2178 0.0464 0.0953  1 H 1.79
37 H 0.4511 0.5464 0.8287  1 H 1.79
38 H 0.9511 0.6224 0.4047  1 H 1.79
39 H 0.9511 0.3287 0.0464  1 H 1.79
40 H 0.9047 0.4511 0.6224  1 H 1.79
41 H 0.4047 0.1224 0.9511  1 H 1.79
42 H 0.1713 0.9536 0.5489  1 H 1.79
43 H 0.6224 0.9511 0.9047  1 H 1.79
44 H 0.7822 0.9536 0.9047  1 H 1.79
45 H 0.6713 0.0489 0.4536  1 H 1.79
46 H 0.9047 0.4536 0.7822  1 H 1.79
47 H 0.8776 0.2822 0.8287  1 H 1.79
48 H 0.4536 0.5489 0.6713  1 H 1.79
49 Bi 0.7500 0.8750 0.6250  4 H 2.82
50 Bi 0.8750 0.1250 0.2500  4 H 2.82
51 Bi 0.2500 0.1250 0.3750  4 H 2.82
52 Bi 0.3750 0.6250 0.2500  4 H 2.82
53 Bi 0.6250 0.3750 0.7500  4 H 2.82
54 Bi 0.2500 0.6250 0.8750  4 H 2.82
55 Bi 0.1250 0.8750 0.7500  4 H 2.82
56 Bi 0.1250 0.2500 0.8750  4 H 2.82
57 Bi 0.3750 0.7500 0.6250  4 H 2.82
58 Bi 0.6250 0.2500 0.3750  4 H 2.82
59 Bi 0.7500 0.3750 0.1250  4 H 2.82
60 Bi 0.8750 0.7500 0.1250  4 H 2.82
61 Pu 0.0000 0.0000 0.0000  6 H 2.11
62 Pu 0.2500 0.3750 0.6250  8 H 2.18-2.21
63 Pu 0.1250 0.3750 0.2500  8 H 2.18-2.21
64 Pu 0.7500 0.1250 0.8750  8 H 2.18-2.21
65 Pu 0.8750 0.6250 0.7500  8 H 2.18-2.21
66 Pu 0.6250 0.7500 0.8750  8 H 2.18-2.21
67 Pu 0.6250 0.8750 0.2500  8 H 2.18-2.21
68 Pu 0.2500 0.8750 0.1250  8 H 2.18-2.21
69 Pu 0.0000 0.0000 0.5000  6 H 2.11
70 Pu 0.1250 0.7500 0.3750  8 H 2.18-2.21
71 Pu 0.5000 0.0000 0.5000  6 H 2.11
72 Pu 0.5000 0.5000 0.5000  6 H 2.11
73 Pu 0.3750 0.1250 0.7500  8 H 2.18-2.21
74 Pu 0.5000 0.0000 0.0000  6 H 2.11
75 Pu 0.0000 0.5000 0.0000  6 H 2.11
76 Pu 0.0000 0.5000 0.5000  6 H 2.11
77 Pu 0.7500 0.6250 0.3750  8 H 2.18-2.21
78 Pu 0.3750 0.2500 0.1250  8 H 2.18-2.21
79 Pu 0.8750 0.2500 0.6250  8 H 2.18-2.21
80 Pu 0.5000 0.5000 0.0000  6 H 2.11

=====

[6]
First-principles (PBE-GGA) data for Pu10Bi4H3 after structural relaxation, as listed in Alexandria via LeMat-Bulk.

Density of states at the Fermi level   68.53 states/eV per cell
Size of the total moment   13.23 Bohr magnetons per cell
Space-group type   I4/mmm
Crystal system   tetragonal
Total energy   -10.2037 eV per atom

Cell lengths 4.6765, 4.6765, 18.6293 Å; angles 97.21, 97.21, 90.00 degrees
Closest atoms and distances in Å follow each position.
Element x y z (fractional)
1 Bi 0.3001 0.3001 0.6002  9 Pu 3.26-3.37
2 Bi 0.5663 0.5663 0.1325  12 Pu 3.31-3.40
3 Bi 0.6999 0.6999 0.3998  9 Pu 3.26-3.37
4 Bi 0.4337 0.4337 0.8675  12 Pu 3.31-3.40
5 H 0.1477 0.1477 0.2955  5 Pu 2.33-2.39
6 H 0.0000 0.0000 0.0000  6 Pu 2.34-2.44
7 H 0.8523 0.8523 0.7045  5 Pu 2.33-2.39
8 Pu 0.0000 0.5000 0.0000  2 H 2.34
9 Pu 0.5000 0.0000 0.0000  2 H 2.34
10 Pu 0.2113 0.2113 0.4226  1 H 2.33
11 Pu 0.7887 0.7887 0.5774  1 H 2.33
12 Pu 0.1337 0.6337 0.2674  2 H 2.39
13 Pu 0.9334 0.9334 0.8669  1 H 2.44
14 Pu 0.6337 0.1337 0.2674  2 H 2.39
15 Pu 0.8663 0.3663 0.7326  2 H 2.39
16 Pu 0.0666 0.0666 0.1331  1 H 2.44
17 Pu 0.3663 0.8663 0.7326  2 H 2.39

=====

[7]
First-principles (PBE-GGA) data for Pu3Bi3H after structural relaxation, as listed in Alexandria via LeMat-Bulk.

Density of states at the Fermi level   54.35 states/eV per cell
Size of the total moment   33.89 Bohr magnetons per cell
Space-group type   C2/m
Crystal system   monoclinic
Total energy   -8.5849 eV per atom

Cell lengths 6.5475, 6.5475, 8.6444 Å; angles 95.00, 95.00, 96.55 degrees
Closest atoms and distances in Å follow each position.
Element x y z (fractional)
1 Pu 0.8645 0.8645 0.1272  2 H 2.29-2.30
2 Pu 0.1355 0.1355 0.8728  2 H 2.29-2.30
3 Pu 0.9184 0.5613 0.7420  1 H 2.26
4 Pu 0.4387 0.0816 0.2580  1 H 2.26
5 Pu 0.5613 0.9184 0.7420  1 H 2.26
6 Pu 0.0816 0.4387 0.2580  1 H 2.26
7 Bi 0.6432 0.6432 0.4074  3 Bi 3.14-3.48, 3 Pu 3.29-3.39
8 Bi 0.1597 0.8403 0.5000  3 Bi 3.12-3.48, 4 Pu 3.18-3.29
9 Bi 0.8403 0.1597 0.5000  3 Bi 3.12-3.48, 4 Pu 3.18-3.29
10 Bi 0.6939 0.3061 0.0000  6 Pu 3.22-3.45, 2 H 3.36
11 Bi 0.3568 0.3568 0.5926  3 Bi 3.14-3.48, 3 Pu 3.29-3.39
12 Bi 0.3061 0.6939 0.0000  6 Pu 3.22-3.45, 2 H 3.36
13 H 0.1300 0.1300 0.1375  4 Pu 2.26-2.30
14 H 0.8700 0.8700 0.8625  4 Pu 2.26-2.30

=====

[8]
First-principles (PBE-GGA) data for Pu2Bi2H after structural relaxation, as listed in Alexandria via LeMat-Bulk.

Density of states at the Fermi level   14.64 states/eV per cell
Size of the total moment   0.12 Bohr magnetons per cell
Space-group type   Cmc2_1
Crystal system   orthorhombic
Excess energy over the best structure of this formula in the dataset   31 meV per atom

Cell lengths 3.6139, 7.5880, 8.2499 Å; angles 90.00, 102.65, 90.00 degrees
Closest atoms and distances in Å follow each position.
Element x y z (fractional)
1 Pu 0.8900 0.1272 0.7801  2 H 2.24
2 Pu 0.1100 0.6272 0.2199  2 H 2.24
3 Pu 0.4310 0.3419 0.8620  2 H 2.29-2.36, 2 Pu 2.52
4 Pu 0.5690 0.8419 0.1380  2 H 2.29-2.36, 2 Pu 2.52
5 H 0.4602 0.0366 0.9203  4 Pu 2.24-2.36
6 H 0.5398 0.5366 0.0797  4 Pu 2.24-2.36
7 Bi 0.7511 0.4246 0.5022  5 Pu 3.18-3.47, 3 Bi 3.30-3.56, 1 H 3.51
8 Bi 0.9082 0.7042 0.8165  4 H 3.06-3.21, 6 Pu 3.22-3.32, 1 Bi 3.30
9 Bi 0.2489 0.9246 0.4978  5 Pu 3.18-3.47, 3 Bi 3.30-3.56, 1 H 3.51
10 Bi 0.0918 0.2042 0.1835  4 H 3.06-3.21, 6 Pu 3.22-3.32, 1 Bi 3.30

=====

[9]
First-principles (PBE-GGA) data for Pu2Bi2H after structural relaxation, as listed in Alexandria via LeMat-Bulk.

Density of states at the Fermi level   42.39 states/eV per cell
Size of the total moment   23.20 Bohr magnetons per cell
Space-group type   I4_1/amd
Crystal system   tetragonal
Excess energy over the best structure of this formula in the dataset   0 meV per atom

Cell lengths 4.3395, 4.3395, 13.7946 Å; angles 99.05, 99.05, 90.00 degrees
Closest atoms and distances in Å follow each position.
Element x y z (fractional)
1 Pu 0.7908 0.7908 0.5816  2 H 2.43
2 Pu 0.4592 0.9592 0.9184  2 H 2.43
3 Pu 0.0408 0.5408 0.0816  2 H 2.43
4 Pu 0.2092 0.2092 0.4184  2 H 2.43
5 H 0.5000 0.5000 0.0000  4 Pu 2.43
6 H 0.7500 0.2500 0.5000  4 Pu 2.43
7 Bi 0.6695 0.6695 0.3390  2 H 3.06, 2 Bi 3.23, 5 Pu 3.25-3.26
8 Bi 0.5805 0.0805 0.1610  2 H 3.06, 2 Bi 3.23, 5 Pu 3.25-3.26
9 Bi 0.3305 0.3305 0.6610  2 H 3.06, 2 Bi 3.23, 5 Pu 3.25-3.26
10 Bi 0.9195 0.4195 0.8390  2 H 3.06, 2 Bi 3.23, 5 Pu 3.25-3.26

=====

[10]
First-principles (PBE-GGA) data for Pu5Bi2H4 after structural relaxation, as listed in Alexandria via LeMat-Bulk.

Density of states at the Fermi level   33.87 states/eV per cell
Size of the total moment   5.68 Bohr magnetons per cell
Space-group type   Fmmm
Crystal system   orthorhombic
Total energy   -8.6309 eV per atom

Cell lengths 6.1905, 6.0193, 7.2966 Å; angles 77.40, 64.90, 59.05 degrees
Closest atoms and distances in Å follow each position.
Element x y z (fractional)
1 Bi 0.1334 0.0000 0.7332  8 H 3.36-3.70, 10 Pu 3.38-3.56, 1 Bi 3.53
2 Bi 0.8666 0.0000 0.2668  8 H 3.36-3.70, 10 Pu 3.38-3.56, 1 Bi 3.53
3 Pu 0.2500 0.5000 0.5000  4 H 2.42
4 Pu 0.7500 0.5000 0.5000  4 H 2.42
5 Pu 0.0000 0.5000 0.0000  4 H 2.37
6 Pu 0.5000 0.5000 0.0000  4 H 2.37
7 Pu 0.5000 0.0000 0.0000  4 H 2.42
8 H 0.2028 0.3500 0.2445  5 Pu 2.37-2.42
9 H 0.7972 0.6500 0.7555  5 Pu 2.37-2.42
10 H 0.4472 0.3500 0.7555  5 Pu 2.37-2.42
11 H 0.5528 0.6500 0.2445  5 Pu 2.37-2.42